Crystalline PmSm4Cu at its relaxed geometry, computed with PBE-GGA.

Geometry as POSCAR:
```
PmSm4Cu
1.0
-0.206 2.226 -2.832
-1.207 -2.715 -2.047
-13.057 3.197 3.460
Sm Cu Pm
4 1 1
direct
0.500 0.500 0.814
0.000 0.000 0.376
0.000 0.000 0.624
0.500 0.500 0.186
0.500 0.500 0.500
0.000 0.000 0.000
```

## Properties
Its calculated formation energy is -0.0366 eV per atom. For the density of states at the Fermi level, the calculation gives 1.3271 states/eV per atom. The calculation puts the total energy at -27.94 eV/cell. The symmetry is P4/mmm (123).

Crystalline Pm2SmCu2 at its relaxed geometry, computed with PBE-GGA.

Geometry as POSCAR:
```
Pm2SmCu2
1.0
3.577 0.000 -0.478
0.000 5.177 0.000
-0.017 0.000 13.418
Cu Pm Sm
4 4 2
direct
0.359 0.250 0.721
0.455 0.750 0.908
0.641 0.750 0.279
0.545 0.250 0.092
0.953 0.250 0.906
0.230 0.750 0.460
0.047 0.750 0.094
0.770 0.250 0.540
0.141 0.250 0.281
0.859 0.750 0.719
```

## Properties
Its calculated formation energy is -0.1000 eV per atom. As for the polymorph energy (0 for the lowest one): 0.00 eV per formula unit. For the density of states at the Fermi level, the calculation gives 0.9624 states/eV per atom. The calculation puts the total energy at -45.83 eV/cell. The symmetry is P2_1/m (11).

Crystalline PmSm2Cu2 at its relaxed geometry, computed with PBE-GGA.

Geometry as POSCAR:
```
PmSm2Cu2
1.0
4.720 0.000 0.000
0.000 5.038 -0.064
0.000 -1.380 10.950
Sm Cu Pm
4 4 2
direct
0.250 0.847 0.884
0.750 0.153 0.116
0.750 0.747 0.491
0.250 0.253 0.509
0.750 0.208 0.364
0.250 0.792 0.636
0.250 0.385 0.996
0.750 0.615 0.004
0.250 0.692 0.243
0.750 0.308 0.757
```

## Properties
Its calculated formation energy is -0.0674 eV per atom. As for the polymorph energy (0 for the lowest one): 0.19 eV per formula unit. For the density of states at the Fermi level, the calculation gives 1.0145 states/eV per atom. The calculation puts the total energy at -45.44 eV/cell. The symmetry is P2_1/m (11).

Number 3 is which compound? PmSm2Cu2